A plane-wave DFT calculation with meta-GGA SCAN was carried out for a PBEsol-optimized structure of SrBi2Pd2.

CIF file:
```
data_SrBi2Pd2
_chemical_formula_sum 'Sr2 Bi4 Pd4'
_cell_length_a 4.794
_cell_length_b 4.794
_cell_length_c 10.826
_cell_angle_alpha 90.00
_cell_angle_beta 90.00
_cell_angle_gamma 90.00
_space_group_name_H-M_alt 'P 4/n m m'
_space_group_IT_number 129
loop_
_space_group_symop_operation_xyz
'x,y,z'
'-x,-y,-z'
'-y+1/2,x,z'
'y+1/2,-x,-z'
'-x+1/2,-y+1/2,z'
'x+1/2,y+1/2,-z'
'y,-x+1/2,z'
'-y,x+1/2,-z'
'x+1/2,-y,-z'
'-x+1/2,y,z'
'-y,-x,-z'
'y,x,z'
'-x,y+1/2,-z'
'x,-y+1/2,z'
'y+1/2,x+1/2,-z'
'-y+1/2,-x+1/2,z'
loop_
_atom_site_label
_atom_site_fract_x
_atom_site_fract_y
_atom_site_fract_z
Sr1 0.250 0.250 0.235
Bi1 0.250 0.250 0.876
Bi2 0.250 0.750 0.500
Pd1 0.250 0.250 0.630
Pd2 0.250 0.750 0.000
```

Values from the calculation:
- Density of states at the Fermi level: 4.65 states/eV per cell
- Energy of formation: -3.293 eV per formula unit
- Total moment: 0.0 μB/f.u.

---

A plane-wave DFT calculation with meta-GGA SCAN was carried out for a PBEsol-optimized structure of Ta3BiPd.

CIF file:
```
data_Ta3BiPd
_chemical_formula_sum 'Ta3 Bi1 Pd1'
_cell_length_a 5.025
_cell_length_b 5.025
_cell_length_c 5.025
_cell_angle_alpha 90.00
_cell_angle_beta 90.00
_cell_angle_gamma 90.00
_space_group_name_H-M_alt 'P m -3 m'
_space_group_IT_number 221
_space_group_name_Hall '-P 4 2 3'
loop_
_atom_site_label
_atom_site_fract_x
_atom_site_fract_y
_atom_site_fract_z
Ta1 0.000 0.000 0.500
Bi1 0.000 0.000 0.000
Pd1 0.500 0.500 0.500
```

Values from the calculation:
- Density of states at the Fermi level: 5.82 states/eV per cell
- Energy of formation: 12.840 eV per formula unit
- Total moment: 0.0 μB/f.u.

---

A plane-wave DFT calculation with meta-GGA SCAN was carried out for a PBEsol-optimized structure of TbBiPd.

CIF file:
```
data_TbBiPd
_chemical_formula_sum 'Tb4 Bi4 Pd4'
_cell_length_a 6.630
_cell_length_b 6.630
_cell_length_c 6.630
_cell_angle_alpha 90.00
_cell_angle_beta 90.00
_cell_angle_gamma 90.00
_space_group_name_H-M_alt 'F -4 3 m'
_space_group_IT_number 216
_space_group_name_Hall 'F -4 2 3'
loop_
_atom_site_label
_atom_site_fract_x
_atom_site_fract_y
_atom_site_fract_z
Tb1 0.000 0.000 0.000
Bi1 0.000 0.000 0.500
Pd1 0.250 0.250 0.750
```

Values from the calculation:
- Density of states at the Fermi level: 0.14 states/eV per cell
- Energy of formation: -3.371 eV per formula unit
- Total moment: 0.0 μB/f.u.